VASP calculation (PBE-GGA) on a relaxed CaTePt crystal.

Cell lengths 4.5815, 4.5816, 8.8388 Å; angles 89.86, 105.13, 120.01 degrees
Positions (direct):
Ca 0.1538 0.9284 0.9766
Ca 0.8299 0.7691 0.4922
Te 0.9819 0.3415 0.2182
Te 0.3265 0.5163 0.7364
Pt 0.6352 0.1709 0.6997
Pt 0.6050 0.6531 0.1528

Values from the calculation:
- Symmetry: No. 8
- Energy relative to the elements, uncorrected: -1.000 eV/atom

VASP calculation (PBE-GGA) on a relaxed Ca2TePt2 crystal.

Cell lengths 5.6497, 5.6497, 5.6460 Å; angles 59.98, 59.98, 90.00 degrees
Positions (direct):
Ca 0.7500 0.2500 0.5000
Ca 0.2500 0.7500 0.5000
Te 0.0000 0.0000 0.0000
Pt 0.3419 0.3419 0.3163
Pt 0.6581 0.6581 0.6837

Values from the calculation:
- Symmetry: No. 139
- Distance to the lowest polymorph of the same formula: 12 meV per atom
- Energy relative to the elements, uncorrected: -0.885 eV/atom

VASP calculation (PBE-GGA) on a relaxed Ca2TePt crystal.

Cell lengths 7.7488, 7.7488, 6.9027 Å; angles 55.85, 55.85, 90.00 degrees
Positions (direct):
Ca 0.6553 0.1250 0.2500
Ca 0.0947 0.6250 0.2500
Ca 0.3750 0.3447 0.7500
Ca 0.8750 0.9053 0.7500
Te 0.5000 0.5000 0.0000
Te 0.2500 0.7500 0.5000
Pt 0.0000 0.0000 0.0000
Pt 0.7500 0.2500 0.5000

Values from the calculation:
- Symmetry: No. 122
- Energy relative to the elements, uncorrected: -0.886 eV/atom

VASP calculation (PBE-GGA) on a relaxed Ca2TePt crystal.

Cell lengths 6.2705, 6.2705, 6.2705 Å; angles 139.90, 139.90, 58.00 degrees
Positions (direct):
Ca 0.0000 0.0000 0.0000
Ca 0.2500 0.7500 0.5000
Te 0.7500 0.2500 0.5000
Pt 0.5000 0.5000 0.0000

Values from the calculation:
- Symmetry: No. 119
- Energy relative to the elements, uncorrected: -0.910 eV/atom

VASP calculation (PBE-GGA) on a relaxed CaTePt crystal.

Cell lengths 4.5716, 4.5718, 8.1398 Å; angles 90.00, 90.00, 60.00 degrees
Positions (direct):
Ca 0.9681 0.3077 0.9661
Ca 0.9681 0.3078 0.4661
Te 0.6347 0.9745 0.2219
Te 0.3013 0.6412 0.7219
Pt 0.6346 0.9746 0.7000
Pt 0.3014 0.6411 0.2000

Values from the calculation:
- Symmetry: No. 186
- Energy relative to the elements, uncorrected: -1.023 eV/atom

VASP calculation (PBE-GGA) on a relaxed CaTePt crystal.

Cell lengths 5.6147, 6.0518, 6.0517 Å; angles 67.10, 117.64, 117.64 degrees
Positions (direct):
Ca 0.6835 0.7675 0.9552
Ca 0.1835 0.2681 0.4545
Te 0.4333 0.9357 0.2869
Te 0.9333 0.6000 0.6226
Pt 0.6832 0.2677 0.9547
Pt 0.1832 0.2678 0.9546

Values from the calculation:
- Symmetry: No. 74
- Energy relative to the elements, uncorrected: -1.025 eV/atom

VASP calculation (PBE-GGA) on a relaxed CaTePt crystal.

Cell lengths 6.4678, 6.2365, 4.0826 Å; angles 90.00, 90.00, 90.73 degrees
Positions (direct):
Ca 0.9645 0.0110 0.7960
Ca 0.5463 0.3633 0.2959
Te 0.0492 0.3962 0.2960
Te 0.4615 0.9781 0.7960
Pt 0.8435 0.5711 0.7960
Pt 0.6672 0.8032 0.2960

Values from the calculation:
- Symmetry: No. 11
- Energy relative to the elements, uncorrected: -0.979 eV/atom

VASP calculation (PBE-GGA) on a relaxed CaTePt crystal.

Cell lengths 4.6253, 8.6065, 4.0735 Å; angles 90.00, 90.00, 88.29 degrees
Positions (direct):
Ca 0.5270 0.0502 0.5395
Ca 0.5574 0.5387 0.5391
Te 0.0404 0.8103 0.5392
Te 0.0625 0.4389 0.0392
Pt 0.0229 0.2430 0.5392
Pt 0.0185 0.0256 0.0393

Values from the calculation:
- Symmetry: No. 6
- Energy relative to the elements, uncorrected: -0.954 eV/atom

VASP calculation (PBE-GGA) on a relaxed CaTePt crystal.

Cell lengths 4.7421, 4.7439, 8.0810 Å; angles 105.84, 74.23, 109.56 degrees
Positions (direct):
Ca 0.5970 0.0416 0.2897
Ca 0.9258 0.3691 0.7893
Te 0.8537 0.7317 0.5086
Te 0.2875 0.2949 0.0690
Pt 0.3407 0.8937 0.6436
Pt 0.4513 0.7826 0.9352

Values from the calculation:
- Symmetry: No. 1
- Energy relative to the elements, uncorrected: -0.924 eV/atom

VASP calculation (PBE-GGA) on a relaxed CaTePt crystal.

Cell lengths 4.5523, 4.5523, 4.1575 Å; angles 90.00, 90.00, 120.00 degrees
Positions (direct):
Ca 0.0000 0.0000 0.0033
Te 0.3333 0.6667 0.5065
Pt 0.6667 0.3333 0.4903

Values from the calculation:
- Symmetry: No. 156
- Energy relative to the elements, uncorrected: -1.010 eV/atom

VASP calculation (PBE-GGA) on a relaxed CaTePt crystal.

Cell lengths 4.5504, 6.7001, 5.5206 Å; angles 91.52, 102.91, 96.52 degrees
Positions (direct):
Ca 0.2648 0.8443 0.0087
Ca 0.0168 0.3816 0.5366
Te 0.8953 0.9058 0.4180
Te 0.5941 0.3616 0.9775
Pt 0.6433 0.6670 0.7061
Pt 0.4731 0.0647 0.6186

Values from the calculation:
- Symmetry: No. 1
- Energy relative to the elements, uncorrected: -0.927 eV/atom

VASP calculation (PBE-GGA) on a relaxed CaTh2Pt9 crystal.

Cell lengths 4.2051, 4.2051, 12.4896 Å; angles 90.00, 90.00, 90.00 degrees
Positions (direct):
Ca 0.0000 0.0000 0.0000
Th 0.0000 0.0000 0.3270
Th 0.0000 0.0000 0.6730
Pt 0.5000 0.5000 0.0000
Pt 0.5000 0.5000 0.3328
Pt 0.5000 0.5000 0.6672
Pt 0.5000 0.0000 0.1633
Pt 0.5000 0.0000 0.5000
Pt 0.5000 0.0000 0.8367
Pt 0.0000 0.5000 0.1633
Pt 0.0000 0.5000 0.5000
Pt 0.0000 0.5000 0.8367

Values from the calculation:
- Symmetry: No. 123
- Distance to the lowest polymorph of the same formula: 0 meV per atom

Number 11 is which compound? CaTePt